# TlHg3PtSe4 | OQMD via LeMat-Bulk | PBE-GGA | relaxed
# **Total moment**: 0.00 μB/f.u.
# **ρ**: 8.32 g cm⁻³
# **Calculated total energy**: -2.5433 eV/atom
data_TlHg3PtSe4
_cell_length_a 6.407
_cell_length_b 6.407
_cell_length_c 6.407
_cell_angle_alpha 90.00
_cell_angle_beta 90.00
_cell_angle_gamma 90.00
_symmetry_space_group_name_H-M 'P 1'
_symmetry_Int_Tables_number 1
_symmetry_space_group_name_Hall 'P 1'
loop_
_atom_site_label
_atom_site_type_symbol
_atom_site_fract_x
_atom_site_fract_y
_atom_site_fract_z
Hg1 Hg 0.500 0.500 0.000
Hg2 Hg 0.500 0.000 0.500
Hg3 Hg 0.000 0.500 0.500
Pt1 Pt 0.500 0.500 0.500
Se1 Se 0.257 0.257 0.257
Se2 Se 0.743 0.743 0.257
Se3 Se 0.743 0.257 0.743
Se4 Se 0.257 0.743 0.743
Tl1 Tl 0.000 0.000 0.000